Entry 1:
Density functional theory data (PBE) for a relaxed structure of PrPO4.

The structure belongs to space group I4_1/acd (No. 142, origin choice 2); the cell edges are 9.0444, 9.0444 and 16.7584 Å and the angles 90.00°, 90.00° and 90.00°. The inequivalent atoms are Pr at (0.0000, 0.2500, 0.1250), Pr at (0.0000, 0.2500, 0.3750), P at (0.0393, 0.0000, 0.2500), O at (0.0549, 0.0014, 0.8281) and O at (0.1024, 0.1249, 0.0012).

As for the volume: 14.3 A^3/atom. The magnetization comes out at 0.0 μB per formula unit.



Entry 2:
Density functional theory data (PBE) for a relaxed structure of PrPO4.

The structure belongs to space group I4_1/amd (No. 141, origin choice 2); the cell edges are 7.1314, 7.1314 and 6.2484 Å and the angles 90.00°, 90.00° and 90.00°. The inequivalent atoms are Pr at (0.0000, 0.2500, 0.3750), P at (0.0000, 0.2500, 0.8750) and O at (0.0000, 0.0784, 0.7224).

As for the volume: 13.2 A^3/atom. The magnetization comes out at 0.0 μB per formula unit.



Entry 3:
Density functional theory data (PBE) for a relaxed structure of Pr2P2O7.

The structure belongs to space group Fd-3m (No. 227, origin choice 2); the cell edges are 10.1602, 10.1602 and 10.1602 Å and the angles 90.00°, 90.00° and 90.00°. The inequivalent atoms are Pr at (0.0000, 0.0000, 0.0000), P at (0.0000, 0.0000, 0.5000), O at (0.0680, 0.3750, 0.8750) and O at (0.1250, 0.1250, 0.1250).

As for the volume: 11.9 A^3/atom. The magnetization comes out at 0.0 μB per formula unit.



no.,energy (eV/atom)
1,-7.8688
2,-7.9676
3,-7.0837